<1>
Below is a geometry-optimized MgZrIN2 structure, with properties calculated at the GGA-PBE level.

Lattice parameters (Å, degrees): 4.118 4.118 5.199 90.00 90.00 90.00
Space group P4/mmm (No. 123)
One atom of each set of equivalent atoms:
Mg (0.000, 0.000, 0.000) (multiplicity 1)
Zr (0.500, 0.500, 0.500) (multiplicity 1)
I (0.000, 0.000, 0.500) (multiplicity 1)
N (0.000, 0.500, 0.000) (multiplicity 2)

Values from the calculation:
- Volume: 17.63 A^3/atom



<2>
Below is a geometry-optimized MgZrIN2 structure, with properties calculated at the GGA-PBE level.

Lattice parameters (Å, degrees): 4.234 4.234 5.983 90.00 90.00 90.00
Space group P4/mmm (No. 123)
One atom of each set of equivalent atoms:
Mg (0.000, 0.000, 0.000) (multiplicity 1)
Zr (0.500, 0.500, 0.500) (multiplicity 1)
I (0.500, 0.500, 0.000) (multiplicity 1)
N (0.000, 0.500, 0.500) (multiplicity 2)

Values from the calculation:
- Volume: 21.45 A^3/atom



Energetically preferred structure: <2> | next structure: +875 meV per atom